Model i:
First-principles (PBE) data for a geometry-optimized NbCuPtPb structure, as listed in OQMD. Values from VASP.

```
&SYSTEM
  ibrav = 0, nat = 4, ntyp = 4
/
ATOMIC_SPECIES
Nb 92.91 Nb.upf
Cu 63.55 Cu.upf
Pt 195.08 Pt.upf
Pb 207.20 Pb.upf
CELL_PARAMETERS angstrom
0.000 3.299 3.299
3.299 0.000 3.299
3.299 3.299 0.000
ATOMIC_POSITIONS angstrom
Nb 0.000 0.000 0.000
Cu 4.949 4.949 4.949
Pt 1.650 1.650 1.650
Pb 3.299 3.299 3.299
```

Properties
crystal system: cubic
symmetry: F-43m

---

Model ii:
First-principles (PBE) data for a geometry-optimized NbCuPtPb structure, as listed in OQMD. Values from VASP.

```
&SYSTEM
  ibrav = 0, nat = 4, ntyp = 4
/
ATOMIC_SPECIES
Nb 92.91 Nb.upf
Cu 63.55 Cu.upf
Pt 195.08 Pt.upf
Pb 207.20 Pb.upf
CELL_PARAMETERS angstrom
0.000 3.292 3.292
3.292 0.000 3.292
3.292 3.292 0.000
ATOMIC_POSITIONS angstrom
Nb 0.000 0.000 0.000
Cu 3.292 3.292 3.292
Pt 4.937 4.937 4.937
Pb 1.646 1.646 1.646
```

Properties
crystal system: cubic
symmetry: F-43m

---

Quick one: most stable of them? model ii

---

Model i:
First-principles (PBE) data for a geometry-optimized SrNbCuPd structure, as listed in OQMD. Values from VASP.

```
&SYSTEM
  ibrav = 0, nat = 4, ntyp = 4
/
ATOMIC_SPECIES
Sr 87.62 Sr.upf
Nb 92.91 Nb.upf
Cu 63.55 Cu.upf
Pd 106.42 Pd.upf
CELL_PARAMETERS angstrom
0.000 3.326 3.326
3.326 0.000 3.326
3.326 3.326 0.000
ATOMIC_POSITIONS angstrom
Sr 0.000 0.000 0.000
Nb 4.989 4.989 4.989
Cu 1.663 1.663 1.663
Pd 3.326 3.326 3.326
```

Properties
crystal system: cubic
symmetry: F-43m

---

Model ii:
First-principles (PBE) data for a geometry-optimized SrNbCuPd structure, as listed in OQMD. Values from VASP.

```
&SYSTEM
  ibrav = 0, nat = 4, ntyp = 4
/
ATOMIC_SPECIES
Sr 87.62 Sr.upf
Nb 92.91 Nb.upf
Cu 63.55 Cu.upf
Pd 106.42 Pd.upf
CELL_PARAMETERS angstrom
0.000 3.331 3.331
3.331 0.000 3.331
3.331 3.331 0.000
ATOMIC_POSITIONS angstrom
Sr 0.000 0.000 0.000
Nb 1.666 1.666 1.666
Cu 3.331 3.331 3.331
Pd 4.997 4.997 4.997
```

Properties
crystal system: cubic
symmetry: F-43m

---

Model iii:
First-principles (PBE) data for a geometry-optimized SrNbCuPd structure, as listed in OQMD. Values from VASP.

```
&SYSTEM
  ibrav = 0, nat = 4, ntyp = 4
/
ATOMIC_SPECIES
Sr 87.62 Sr.upf
Nb 92.91 Nb.upf
Cu 63.55 Cu.upf
Pd 106.42 Pd.upf
CELL_PARAMETERS angstrom
0.000 3.435 3.435
3.435 0.000 3.435
3.435 3.435 0.000
ATOMIC_POSITIONS angstrom
Sr 0.000 0.000 0.000
Nb 3.435 3.435 3.435
Cu 1.718 1.718 1.718
Pd 5.153 5.153 5.153
```

Properties
crystal system: cubic
symmetry: F-43m

---

Quick one: most stable of them? model iii

---

Model i:
First-principles (PBE) data for a geometry-optimized NbZnCuPd structure, as listed in OQMD. Values from VASP.

```
&SYSTEM
  ibrav = 0, nat = 4, ntyp = 4
/
ATOMIC_SPECIES
Nb 92.91 Nb.upf
Zn 65.41 Zn.upf
Cu 63.55 Cu.upf
Pd 106.42 Pd.upf
CELL_PARAMETERS angstrom
0.000 3.082 3.082
3.082 0.000 3.082
3.082 3.082 0.000
ATOMIC_POSITIONS angstrom
Nb 0.000 0.000 0.000
Zn 4.622 4.622 4.622
Cu 1.541 1.541 1.541
Pd 3.082 3.082 3.082
```

Properties
crystal system: cubic
symmetry: F-43m

---

Model ii:
First-principles (PBE) data for a geometry-optimized NbZnCuPd structure, as listed in OQMD. Values from VASP.

```
&SYSTEM
  ibrav = 0, nat = 4, ntyp = 4
/
ATOMIC_SPECIES
Nb 92.91 Nb.upf
Zn 65.41 Zn.upf
Cu 63.55 Cu.upf
Pd 106.42 Pd.upf
CELL_PARAMETERS angstrom
0.000 3.104 3.104
3.104 0.000 3.104
3.104 3.104 0.000
ATOMIC_POSITIONS angstrom
Nb 0.000 0.000 0.000
Zn 3.104 3.104 3.104
Cu 4.655 4.655 4.655
Pd 1.552 1.552 1.552
```

Properties
crystal system: cubic
symmetry: F-43m

---

Quick one: most stable of them? model ii

---

Model i:
First-principles (PBE) data for a geometry-optimized PrNbCu structure, as listed in OQMD. Values from VASP.

```
&SYSTEM
  ibrav = 0, nat = 3, ntyp = 3
/
ATOMIC_SPECIES
Pr 140.91 Pr.upf
Nb 92.91 Nb.upf
Cu 63.55 Cu.upf
CELL_PARAMETERS angstrom
0.000 3.264 3.264
3.264 0.000 3.264
3.264 3.264 0.000
ATOMIC_POSITIONS angstrom
Pr 0.000 0.000 0.000
Nb 4.896 4.896 4.896
Cu 3.264 3.264 3.264
```

Properties
crystal system: cubic
symmetry: F-43m

---

Model ii:
First-principles (PBE) data for a geometry-optimized PrNbCu structure, as listed in OQMD. Values from VASP.

```
&SYSTEM
  ibrav = 0, nat = 3, ntyp = 3
/
ATOMIC_SPECIES
Pr 140.91 Pr.upf
Nb 92.91 Nb.upf
Cu 63.55 Cu.upf
CELL_PARAMETERS angstrom
0.000 3.329 3.329
3.329 0.000 3.329
3.329 3.329 0.000
ATOMIC_POSITIONS angstrom
Pr 0.000 0.000 0.000
Nb 1.664 1.664 1.664
Cu 4.993 4.993 4.993
```

Properties
crystal system: cubic
symmetry: F-43m

---

Quick one: most stable of them? model i

---

Model i:
First-principles (PBE) data for a geometry-optimized NbCuSbPt structure, as listed in OQMD. Values from VASP.

```
&SYSTEM
  ibrav = 0, nat = 4, ntyp = 4
/
ATOMIC_SPECIES
Nb 92.91 Nb.upf
Cu 63.55 Cu.upf
Sb 121.76 Sb.upf
Pt 195.08 Pt.upf
CELL_PARAMETERS angstrom
0.000 3.266 3.266
3.266 0.000 3.266
3.266 3.266 0.000
ATOMIC_POSITIONS angstrom
Nb 0.000 0.000 0.000
Cu 4.898 4.898 4.898
Sb 3.266 3.266 3.266
Pt 1.633 1.633 1.633
```

Properties
crystal system: cubic
symmetry: F-43m

---

Model ii:
First-principles (PBE) data for a geometry-optimized NbCuSbPt structure, as listed in OQMD. Values from VASP.

```
&SYSTEM
  ibrav = 0, nat = 4, ntyp = 4
/
ATOMIC_SPECIES
Nb 92.91 Nb.upf
Cu 63.55 Cu.upf
Sb 121.76 Sb.upf
Pt 195.08 Pt.upf
CELL_PARAMETERS angstrom
0.000 3.258 3.258
3.258 0.000 3.258
3.258 3.258 0.000
ATOMIC_POSITIONS angstrom
Nb 0.000 0.000 0.000
Cu 3.258 3.258 3.258
Sb 1.629 1.629 1.629
Pt 4.887 4.887 4.887
```

Properties
crystal system: cubic
symmetry: F-43m

---

Quick one: most stable of them? model ii

---

Model i:
First-principles (PBE) data for a geometry-optimized NbTlCuPt structure, as listed in OQMD. Values from VASP.

```
&SYSTEM
  ibrav = 0, nat = 4, ntyp = 4
/
ATOMIC_SPECIES
Nb 92.91 Nb.upf
Tl 204.38 Tl.upf
Cu 63.55 Cu.upf
Pt 195.08 Pt.upf
CELL_PARAMETERS angstrom
0.000 3.250 3.250
3.250 0.000 3.250
3.250 3.250 0.000
ATOMIC_POSITIONS angstrom
Nb 0.000 0.000 0.000
Tl 3.250 3.250 3.250
Cu 4.875 4.875 4.875
Pt 1.625 1.625 1.625
```

Properties
crystal system: cubic
symmetry: F-43m

---

Model ii:
First-principles (PBE) data for a geometry-optimized NbTlCuPt structure, as listed in OQMD. Values from VASP.

```
&SYSTEM
  ibrav = 0, nat = 4, ntyp = 4
/
ATOMIC_SPECIES
Nb 92.91 Nb.upf
Tl 204.38 Tl.upf
Cu 63.55 Cu.upf
Pt 195.08 Pt.upf
CELL_PARAMETERS angstrom
0.000 3.257 3.257
3.257 0.000 3.257
3.257 3.257 0.000
ATOMIC_POSITIONS angstrom
Nb 0.000 0.000 0.000
Tl 1.628 1.628 1.628
Cu 3.257 3.257 3.257
Pt 4.885 4.885 4.885
```

Properties
crystal system: cubic
symmetry: F-43m

---

Quick one: most stable of them? model i

---

Model i:
First-principles (PBE) data for a geometry-optimized PuNbCu structure, as listed in OQMD. Values from VASP.

```
&SYSTEM
  ibrav = 0, nat = 3, ntyp = 3
/
ATOMIC_SPECIES
Pu 244.00 Pu.upf
Nb 92.91 Nb.upf
Cu 63.55 Cu.upf
CELL_PARAMETERS angstrom
0.000 3.089 3.089
3.089 0.000 3.089
3.089 3.089 0.000
ATOMIC_POSITIONS angstrom
Pu 0.000 0.000 0.000
Nb 3.089 3.089 3.089
Cu 4.634 4.634 4.634
```

Properties
crystal system: cubic
symmetry: F-43m

---

Model ii:
First-principles (PBE) data for a geometry-optimized PuNbCu structure, as listed in OQMD. Values from VASP.

```
&SYSTEM
  ibrav = 0, nat = 3, ntyp = 3
/
ATOMIC_SPECIES
Pu 244.00 Pu.upf
Nb 92.91 Nb.upf
Cu 63.55 Cu.upf
CELL_PARAMETERS angstrom
0.000 3.082 3.082
3.082 0.000 3.082
3.082 3.082 0.000
ATOMIC_POSITIONS angstrom
Pu 0.000 0.000 0.000
Nb 1.541 1.541 1.541
Cu 4.623 4.623 4.623
```

Properties
crystal system: cubic
symmetry: F-43m

---

Quick one: most stable of them? model ii

---

Model i:
First-principles (PBE) data for a geometry-optimized NbCuTcSb structure, as listed in OQMD. Values from VASP.

```
&SYSTEM
  ibrav = 0, nat = 4, ntyp = 4
/
ATOMIC_SPECIES
Nb 92.91 Nb.upf
Cu 63.55 Cu.upf
Tc 98.00 Tc.upf
Sb 121.76 Sb.upf
CELL_PARAMETERS angstrom
0.000 3.196 3.196
3.196 0.000 3.196
3.196 3.196 0.000
ATOMIC_POSITIONS angstrom
Nb 0.000 0.000 0.000
Cu 4.794 4.794 4.794
Tc 1.598 1.598 1.598
Sb 3.196 3.196 3.196
```

Properties
crystal system: cubic
symmetry: F-43m

---

Model ii:
First-principles (PBE) data for a geometry-optimized NbCuTcSb structure, as listed in OQMD. Values from VASP.

```
&SYSTEM
  ibrav = 0, nat = 4, ntyp = 4
/
ATOMIC_SPECIES
Nb 92.91 Nb.upf
Cu 63.55 Cu.upf
Tc 98.00 Tc.upf
Sb 121.76 Sb.upf
CELL_PARAMETERS angstrom
0.000 3.196 3.196
3.196 0.000 3.196
3.196 3.196 0.000
ATOMIC_POSITIONS angstrom
Nb 0.000 0.000 0.000
Cu 1.598 1.598 1.598
Tc 3.196 3.196 3.196
Sb 4.794 4.794 4.794
```

Properties
crystal system: cubic
symmetry: F-43m

---

Quick one: most stable of them? model i

---

Model i:
First-principles (PBE) data for a geometry-optimized SmNbCu structure, as listed in OQMD. Values from VASP.

```
&SYSTEM
  ibrav = 0, nat = 3, ntyp = 3
/
ATOMIC_SPECIES
Sm 150.36 Sm.upf
Nb 92.91 Nb.upf
Cu 63.55 Cu.upf
CELL_PARAMETERS angstrom
0.000 3.301 3.301
3.301 0.000 3.301
3.301 3.301 0.000
ATOMIC_POSITIONS angstrom
Sm 0.000 0.000 0.000
Nb 1.650 1.650 1.650
Cu 4.951 4.951 4.951
```

Properties
crystal system: cubic
symmetry: F-43m

---

Model ii:
First-principles (PBE) data for a geometry-optimized SmNbCu structure, as listed in OQMD. Values from VASP.

```
&SYSTEM
  ibrav = 0, nat = 3, ntyp = 3
/
ATOMIC_SPECIES
Sm 150.36 Sm.upf
Nb 92.91 Nb.upf
Cu 63.55 Cu.upf
CELL_PARAMETERS angstrom
0.000 3.224 3.224
3.224 0.000 3.224
3.224 3.224 0.000
ATOMIC_POSITIONS angstrom
Sm 0.000 0.000 0.000
Nb 4.835 4.835 4.835
Cu 3.224 3.224 3.224
```

Properties
crystal system: cubic
symmetry: F-43m

---

Quick one: most stable of them? model ii

---

Model i:
First-principles (PBE) data for a geometry-optimized NbZnCuSn structure, as listed in OQMD. Values from VASP.

```
&SYSTEM
  ibrav = 0, nat = 4, ntyp = 4
/
ATOMIC_SPECIES
Nb 92.91 Nb.upf
Zn 65.41 Zn.upf
Cu 63.55 Cu.upf
Sn 118.71 Sn.upf
CELL_PARAMETERS angstrom
0.000 3.247 3.247
3.247 0.000 3.247
3.247 3.247 0.000
ATOMIC_POSITIONS angstrom
Nb 0.000 0.000 0.000
Zn 4.870 4.870 4.870
Cu 3.247 3.247 3.247
Sn 1.623 1.623 1.623
```

Properties
crystal system: cubic
symmetry: F-43m

---

Model ii:
First-principles (PBE) data for a geometry-optimized NbZnCuSn structure, as listed in OQMD. Values from VASP.

```
&SYSTEM
  ibrav = 0, nat = 4, ntyp = 4
/
ATOMIC_SPECIES
Nb 92.91 Nb.upf
Zn 65.41 Zn.upf
Cu 63.55 Cu.upf
Sn 118.71 Sn.upf
CELL_PARAMETERS angstrom
0.000 3.242 3.242
3.242 0.000 3.242
3.242 3.242 0.000
ATOMIC_POSITIONS angstrom
Nb 0.000 0.000 0.000
Zn 1.621 1.621 1.621
Cu 4.863 4.863 4.863
Sn 3.242 3.242 3.242
```

Properties
crystal system: cubic
symmetry: F-43m

---

Quick one: most stable of them? model i

---

Model i:
First-principles (PBE) data for a geometry-optimized SrNbCu structure, as listed in OQMD. Values from VASP.

```
&SYSTEM
  ibrav = 0, nat = 3, ntyp = 3
/
ATOMIC_SPECIES
Sr 87.62 Sr.upf
Nb 92.91 Nb.upf
Cu 63.55 Cu.upf
CELL_PARAMETERS angstrom
0.000 3.407 3.407
3.407 0.000 3.407
3.407 3.407 0.000
ATOMIC_POSITIONS angstrom
Sr 0.000 0.000 0.000
Nb 3.407 3.407 3.407
Cu 5.111 5.111 5.111
```

Properties
crystal system: cubic
symmetry: F-43m

---

Model ii:
First-principles (PBE) data for a geometry-optimized SrNbCu structure, as listed in OQMD. Values from VASP.

```
&SYSTEM
  ibrav = 0, nat = 3, ntyp = 3
/
ATOMIC_SPECIES
Sr 87.62 Sr.upf
Nb 92.91 Nb.upf
Cu 63.55 Cu.upf
CELL_PARAMETERS angstrom
0.000 3.525 3.525
3.525 0.000 3.525
3.525 3.525 0.000
ATOMIC_POSITIONS angstrom
Sr 0.000 0.000 0.000
Nb 1.763 1.763 1.763
Cu 5.288 5.288 5.288
```

Properties
crystal system: cubic
symmetry: F-43m

---

Quick one: most stable of them? model i

---

Model i:
First-principles (PBE) data for a geometry-optimized YNbZnCu structure, as listed in OQMD. Values from VASP.

```
&SYSTEM
  ibrav = 0, nat = 4, ntyp = 4
/
ATOMIC_SPECIES
Y 88.91 Y.upf
Nb 92.91 Nb.upf
Zn 65.41 Zn.upf
Cu 63.55 Cu.upf
CELL_PARAMETERS angstrom
0.000 3.356 3.356
3.356 0.000 3.356
3.356 3.356 0.000
ATOMIC_POSITIONS angstrom
Y 0.000 0.000 0.000
Nb 1.678 1.678 1.678
Zn 3.356 3.356 3.356
Cu 5.034 5.034 5.034
```

Properties
crystal system: cubic
symmetry: F-43m

---

Model ii:
First-principles (PBE) data for a geometry-optimized YNbZnCu structure, as listed in OQMD. Values from VASP.

```
&SYSTEM
  ibrav = 0, nat = 4, ntyp = 4
/
ATOMIC_SPECIES
Y 88.91 Y.upf
Nb 92.91 Nb.upf
Zn 65.41 Zn.upf
Cu 63.55 Cu.upf
CELL_PARAMETERS angstrom
0.000 3.360 3.360
3.360 0.000 3.360
3.360 3.360 0.000
ATOMIC_POSITIONS angstrom
Y 0.000 0.000 0.000
Nb 5.041 5.041 5.041
Zn 1.680 1.680 1.680
Cu 3.360 3.360 3.360
```

Properties
crystal system: cubic
symmetry: F-43m

---

Quick one: most stable of them? model i